#A
## InW2 (PBE)

Data for crystalline InW2 at its relaxed geometry.

* size of the total moment: 0.00 μB/atom

Geometry as CIF:
```
data_InW2
_chemical_formula_sum 'In2 W4'
_space_group_name_H-M_alt 'I 4/m m m'
_space_group_IT_number 139
_space_group_name_Hall '-I 4 2'
_cell_length_a 2.8627
_cell_length_b 2.8627
_cell_length_c 13.0416
_cell_angle_alpha 90.00
_cell_angle_beta 90.00
_cell_angle_gamma 90.00
loop_
_atom_site_label
_atom_site_fract_x
_atom_site_fract_y
_atom_site_fract_z
In1 0.0000 0.0000 0.0000
W1 0.0000 0.0000 0.3264
```


#B
## InW2 (PBE)

Data for crystalline InW2 at its relaxed geometry.

* size of the total moment: 0.00 μB/atom

Geometry as CIF:
```
data_InW2
_chemical_formula_sum 'In1 W2'
_space_group_name_H-M_alt 'P -3 m 1'
_space_group_IT_number 164
_space_group_name_Hall '-P 3 2"'
_cell_length_a 4.6297
_cell_length_b 4.6297
_cell_length_c 2.8279
_cell_angle_alpha 90.00
_cell_angle_beta 90.00
_cell_angle_gamma 120.00
loop_
_atom_site_label
_atom_site_fract_x
_atom_site_fract_y
_atom_site_fract_z
In1 0.0000 0.0000 0.0000
W1 0.3333 0.6667 0.6218
```


Order of stability, best first: #B, #A


#A
## InW2 (PBE)

Data for crystalline InW2 at its relaxed geometry.

* size of the total moment: 0.00 μB/atom

Geometry as CIF:
```
data_InW2
_chemical_formula_sum 'In4 W8'
_space_group_name_H-M_alt 'C m c m'
_space_group_IT_number 63
_space_group_name_Hall '-C 2c 2'
_cell_length_a 2.8180
_cell_length_b 15.6003
_cell_length_c 4.7654
_cell_angle_alpha 90.00
_cell_angle_beta 90.00
_cell_angle_gamma 90.00
loop_
_atom_site_label
_atom_site_fract_x
_atom_site_fract_y
_atom_site_fract_z
In1 0.0000 0.1155 0.2500
W1 0.0000 0.2164 0.7500
W2 0.0000 0.4494 0.2500
```


#B
## InW2 (PBE)

Data for crystalline InW2 at its relaxed geometry.

* size of the total moment: 0.00 μB/atom

Geometry as CIF:
```
data_InW2
_chemical_formula_sum 'In4 W8'
_space_group_name_H-M_alt 'I 4/m c m'
_space_group_IT_number 140
_space_group_name_Hall '-I 4 2c'
_cell_length_a 6.5194
_cell_length_b 6.5194
_cell_length_c 5.2399
_cell_angle_alpha 90.00
_cell_angle_beta 90.00
_cell_angle_gamma 90.00
loop_
_atom_site_label
_atom_site_fract_x
_atom_site_fract_y
_atom_site_fract_z
In1 0.0000 0.0000 0.2500
W1 0.1305 0.3695 0.0000
```


Order of stability, best first: #A, #B


#A
## InW2 (PBE)

Data for crystalline InW2 at its relaxed geometry.

* size of the total moment: 0.00 μB/atom

Geometry as CIF:
```
data_InW2
_chemical_formula_sum 'In4 W8'
_space_group_name_H-M_alt 'I m m a'
_space_group_IT_number 74
_space_group_name_Hall '-I 2b 2'
_cell_length_a 2.7350
_cell_length_b 4.7727
_cell_length_c 17.9393
_cell_angle_alpha 90.00
_cell_angle_beta 90.00
_cell_angle_gamma 90.00
loop_
_atom_site_label
_atom_site_fract_x
_atom_site_fract_y
_atom_site_fract_z
In1 0.0000 0.2500 0.1288
W1 0.0000 0.2500 0.5339
W2 0.0000 0.2500 0.6821
```


#B
## InW2 (PBE)

Data for crystalline InW2 at its relaxed geometry.

* size of the total moment: 0.00 μB/atom

Geometry as CIF:
```
data_InW2
_chemical_formula_sum 'In2 W4'
_space_group_name_H-M_alt 'I m m m'
_space_group_IT_number 71
_space_group_name_Hall '-I 2 2'
_cell_length_a 2.7899
_cell_length_b 4.3548
_cell_length_c 8.6253
_cell_angle_alpha 90.00
_cell_angle_beta 90.00
_cell_angle_gamma 90.00
loop_
_atom_site_label
_atom_site_fract_x
_atom_site_fract_y
_atom_site_fract_z
In1 0.0000 0.0000 0.0000
W1 0.0000 0.0000 0.3316
```


#C
## InW2 (PBE)

Data for crystalline InW2 at its relaxed geometry.

* size of the total moment: 0.00 μB/atom

Geometry as CIF:
```
data_InW2
_chemical_formula_sum 'In4 W8'
_space_group_name_H-M_alt 'C 1 2/m 1'
_space_group_IT_number 12
_cell_length_a 11.1300
_cell_length_b 3.1293
_cell_length_c 6.5844
_cell_angle_alpha 90.00
_cell_angle_beta 106.86
_cell_angle_gamma 90.00
loop_
_space_group_symop_operation_xyz
'x,y,z'
'-x,-y,-z'
'-x,y,-z'
'x,-y,z'
'x+1/2,y+1/2,z'
'-x+1/2,-y+1/2,-z'
'-x+1/2,y+1/2,-z'
'x+1/2,-y+1/2,z'
loop_
_atom_site_label
_atom_site_fract_x
_atom_site_fract_y
_atom_site_fract_z
In1 0.1449 0.0000 0.0701
W1 0.0020 0.5000 0.6862
W2 0.1847 0.0000 0.5926
```


#D
## InW2 (PBE)

Data for crystalline InW2 at its relaxed geometry.

* size of the total moment: 0.00 μB/atom

Geometry as CIF:
```
data_InW2
_chemical_formula_sum 'In2 W4'
_space_group_name_H-M_alt 'P 63/m m c'
_space_group_IT_number 194
_space_group_name_Hall '-P 6c 2c'
_cell_length_a 4.6945
_cell_length_b 4.6945
_cell_length_c 5.5082
_cell_angle_alpha 90.00
_cell_angle_beta 90.00
_cell_angle_gamma 120.00
loop_
_atom_site_label
_atom_site_fract_x
_atom_site_fract_y
_atom_site_fract_z
In1 0.3333 0.6667 0.2500
W1 0.0000 0.0000 0.0000
W2 0.3333 0.6667 0.7500
```


Order of stability, best first: #C, #B, #D, #A


#A
## InW2 (PBE)

Data for crystalline InW2 at its relaxed geometry.

* size of the total moment: 0.00 μB/atom

Geometry as CIF:
```
data_InW2
_chemical_formula_sum 'In4 W8'
_space_group_name_H-M_alt 'I 41/a m d'
_space_group_IT_number 141
_cell_length_a 2.7789
_cell_length_b 2.7789
_cell_length_c 28.3498
_cell_angle_alpha 90.00
_cell_angle_beta 90.00
_cell_angle_gamma 90.00
loop_
_space_group_symop_operation_xyz
'x,y,z'
'-x,-y,-z'
'-y+1/4,x+3/4,z+1/4'
'y+1/4,-x+3/4,-z+1/4'
'-x+1/2,-y,z+1/2'
'x+1/2,y,-z+1/2'
'y+1/4,-x+1/4,z+3/4'
'-y+1/4,x+1/4,-z+3/4'
'x,-y,-z'
'-x,y,z'
'-y+1/4,-x+1/4,-z+3/4'
'y+1/4,x+1/4,z+3/4'
'-x+1/2,y,-z+1/2'
'x+1/2,-y,z+1/2'
'y+1/4,x+3/4,-z+1/4'
'-y+1/4,-x+3/4,z+1/4'
'x+1/2,y+1/2,z+1/2'
'-x+1/2,-y+1/2,-z+1/2'
'-y+3/4,x+1/4,z+3/4'
'y+3/4,-x+1/4,-z+3/4'
'-x,-y+1/2,z'
'x,y+1/2,-z'
'y+3/4,-x+3/4,z+1/4'
'-y+3/4,x+3/4,-z+1/4'
'x+1/2,-y+1/2,-z+1/2'
'-x+1/2,y+1/2,z+1/2'
'-y+3/4,-x+3/4,-z+1/4'
'y+3/4,x+3/4,z+1/4'
'-x,y+1/2,-z'
'x,-y+1/2,z'
'y+3/4,x+1/4,-z+3/4'
'-y+3/4,-x+1/4,z+3/4'
loop_
_atom_site_label
_atom_site_fract_x
_atom_site_fract_y
_atom_site_fract_z
In1 0.0000 0.2500 0.3750
W1 0.0000 0.2500 0.7925
```


#B
## InW2 (PBE)

Data for crystalline InW2 at its relaxed geometry.

* size of the total moment: 0.00 μB/atom

Geometry as CIF:
```
data_InW2
_chemical_formula_sum 'In4 W8'
_space_group_name_H-M_alt 'C 1 2/m 1'
_space_group_IT_number 12
_cell_length_a 9.9751
_cell_length_b 3.3708
_cell_length_c 6.6732
_cell_angle_alpha 90.00
_cell_angle_beta 110.01
_cell_angle_gamma 90.00
loop_
_space_group_symop_operation_xyz
'x,y,z'
'-x,-y,-z'
'-x,y,-z'
'x,-y,z'
'x+1/2,y+1/2,z'
'-x+1/2,-y+1/2,-z'
'-x+1/2,y+1/2,-z'
'x+1/2,-y+1/2,z'
loop_
_atom_site_label
_atom_site_fract_x
_atom_site_fract_y
_atom_site_fract_z
In1 0.1702 0.0000 0.3225
W1 0.0000 0.5000 0.0000
W2 0.0000 0.5000 0.5000
W3 0.1538 0.0000 0.8405
```


#C
## InW2 (PBE)

Data for crystalline InW2 at its relaxed geometry.

* size of the total moment: 0.00 μB/atom

Geometry as CIF:
```
data_InW2
_chemical_formula_sum 'In3 W6'
_space_group_name_H-M_alt 'P -6 2 m'
_space_group_IT_number 189
_space_group_name_Hall 'P -6 -2'
_cell_length_a 8.1081
_cell_length_b 8.1081
_cell_length_c 2.7629
_cell_angle_alpha 90.00
_cell_angle_beta 90.00
_cell_angle_gamma 120.00
loop_
_atom_site_label
_atom_site_fract_x
_atom_site_fract_y
_atom_site_fract_z
In1 0.0000 0.0000 0.0000
In2 0.3333 0.6667 0.5000
W1 0.0000 0.3151 0.5000
W2 0.0000 0.6485 0.0000
```


Order of stability, best first: #B, #C, #A


#A
## In4W (PBE)

Data for crystalline In4W at its relaxed geometry.

* size of the total moment: 0.00 μB/atom

Geometry as CIF:
```
data_In4W
_chemical_formula_sum 'In8 W2'
_space_group_name_H-M_alt 'I m -3 m'
_space_group_IT_number 229
_space_group_name_Hall '-I 4 2 3'
_cell_length_a 6.4084
_cell_length_b 6.4084
_cell_length_c 6.4084
_cell_angle_alpha 90.00
_cell_angle_beta 90.00
_cell_angle_gamma 90.00
loop_
_atom_site_label
_atom_site_fract_x
_atom_site_fract_y
_atom_site_fract_z
In1 0.2500 0.2500 0.2500
W1 0.0000 0.0000 0.0000
```


#B
## In4W (PBE)

Data for crystalline In4W at its relaxed geometry.

* size of the total moment: 0.00 μB/atom

Geometry as CIF:
```
data_In4W
_chemical_formula_sum 'In4 W1'
_space_group_name_H-M_alt 'P m -3 m'
_space_group_IT_number 221
_space_group_name_Hall '-P 4 2 3'
_cell_length_a 5.3425
_cell_length_b 5.3425
_cell_length_c 5.3425
_cell_angle_alpha 90.00
_cell_angle_beta 90.00
_cell_angle_gamma 90.00
loop_
_atom_site_label
_atom_site_fract_x
_atom_site_fract_y
_atom_site_fract_z
In1 0.0000 0.0000 0.0000
In2 0.0000 0.5000 0.5000
W1 0.5000 0.5000 0.5000
```


Order of stability, best first: #A, #B


#A
## YInW3 (PBE)

Data for crystalline YInW3 at its relaxed geometry.

* size of the total moment: 0.00 μB/atom

Geometry as CIF:
```
data_YInW3
_chemical_formula_sum 'Y1 In1 W3'
_space_group_name_H-M_alt 'P m -3 m'
_space_group_IT_number 221
_space_group_name_Hall '-P 4 2 3'
_cell_length_a 4.9434
_cell_length_b 4.9434
_cell_length_c 4.9434
_cell_angle_alpha 90.00
_cell_angle_beta 90.00
_cell_angle_gamma 90.00
loop_
_atom_site_label
_atom_site_fract_x
_atom_site_fract_y
_atom_site_fract_z
Y1 0.0000 0.0000 0.0000
In1 0.5000 0.5000 0.5000
W1 0.0000 0.5000 0.5000
```


#B
## YInW3 (PBE)

Data for crystalline YInW3 at its relaxed geometry.

* size of the total moment: 0.00 μB/atom

Geometry as CIF:
```
data_YInW3
_chemical_formula_sum 'Y1 In1 W3'
_space_group_name_H-M_alt 'P m -3 m'
_space_group_IT_number 221
_space_group_name_Hall '-P 4 2 3'
_cell_length_a 4.8692
_cell_length_b 4.8692
_cell_length_c 4.8692
_cell_angle_alpha 90.00
_cell_angle_beta 90.00
_cell_angle_gamma 90.00
loop_
_atom_site_label
_atom_site_fract_x
_atom_site_fract_y
_atom_site_fract_z
Y1 0.0000 0.0000 0.0000
In1 0.5000 0.5000 0.5000
W1 0.0000 0.0000 0.5000
```


Order of stability, best first: #A, #B